[1]
Here is a geometry-optimized Pm12Nd7Mg structure from the Alexandria database. Energies are from PBE.

The structure belongs to space group Im-3 (No. 204); the cell edges are 11.588, 11.588 and 11.588 Å and the angles 90.00°, 90.00° and 90.00°. The inequivalent atoms are Pm at (0.000, 0.245, 0.244), Nd at (0.000, 0.000, 0.500), Nd at (0.250, 0.250, 0.250) and Mg at (0.000, 0.000, 0.000).

Its formation energy is 0.604 eV/atom. The calculation puts the polymorph energy (0 for the lowest one) at 0.418 eV per atom.

=====

[2]
Here is a geometry-optimized Rb2CoW structure from the Alexandria database. Energies are from PBE.

The structure belongs to space group Fm-3m (No. 225); the cell edges are 8.498, 8.498 and 8.498 Å and the angles 90.00°, 90.00° and 90.00°. The inequivalent atoms are Rb at (0.250, 0.250, 0.250), Co at (0.000, 0.000, 0.000) and W at (0.000, 0.000, 0.500).

Its formation energy is 2.312 eV/atom. The calculation puts the polymorph energy (0 for the lowest one) at 0.741 eV per atom.

=====

[3]
Here is a geometry-optimized NaHfW3 structure from the Alexandria database. Energies are from PBE.

The structure belongs to space group Pm-3m (No. 221); the cell edges are 4.568, 4.568 and 4.568 Å and the angles 90.00°, 90.00° and 90.00°. The inequivalent atoms are Na at (0.000, 0.000, 0.000), Hf at (0.500, 0.500, 0.500) and W at (0.000, 0.000, 0.500).

Its formation energy is 2.605 eV/atom. The calculation puts the polymorph energy (0 for the lowest one) at 0.178 eV per atom.

=====

[4]
Here is a geometry-optimized TbLuZnIr structure from the Alexandria database. Energies are from PBE.

The structure belongs to space group F-43m (No. 216); the cell edges are 6.910, 6.910 and 6.910 Å and the angles 90.00°, 90.00° and 90.00°. The inequivalent atoms are Tb at (0.000, 0.000, 0.000), Lu at (0.000, 0.000, 0.500), Zn at (0.250, 0.250, 0.250) and Ir at (0.250, 0.250, 0.750).

Its formation energy is -0.657 eV/atom.

=====

[5]
Here is a geometry-optimized PrErIn structure from the Alexandria database. Energies are from PBE.

The structure belongs to space group P6_3/mmc (No. 194); the cell edges are 5.4795, 5.4795 and 6.8232 Å and the angles 90.00°, 90.00° and 120.00°. The inequivalent atoms are Pr at (0.0000, 0.0000, 0.0000), Er at (0.3333, 0.6667, 0.2500) and In at (0.3333, 0.6667, 0.7500).

Its formation energy is -0.335 eV/atom. The calculation puts the polymorph energy (0 for the lowest one) at 0.000 eV per atom.

=====

[6]
Here is a geometry-optimized HgSbP structure from the Alexandria database. Energies are from PBE.

The structure belongs to space group P-1 (No. 2); the cell edges are 3.870, 6.674 and 6.823 Å and the angles 63.33°, 74.03° and 73.50°. The inequivalent atoms are Hg at (0.096, 0.241, 0.068), Sb at (0.389, 0.280, 0.438) and P at (0.239, 0.741, 0.275).

The value obtained for the formation energy from raw total energies is 0.14 eV/atom. The calculation puts the polymorph energy (0 for the lowest one) at 0.035 eV per atom.

=====

[7]
Here is a geometry-optimized NpNi4Ag structure from the Alexandria database. Energies are from PBE.

The structure belongs to space group F-43m (No. 216); the cell edges are 6.982, 6.982 and 6.982 Å and the angles 90.00°, 90.00° and 90.00°. The inequivalent atoms are Np at (0.000, 0.000, 0.000), Ni at (0.125, 0.125, 0.375) and Ag at (0.250, 0.250, 0.750).

Its formation energy is -0.076 eV/atom.

=====

[8]
Here is a geometry-optimized LaHg2I structure from the Alexandria database. Energies are from PBE.

The structure belongs to space group R-3m (No. 166, hexagonal axes); the cell edges are 3.9852, 3.9852 and 32.9915 Å and the angles 90.00°, 90.00° and 120.00°. The inequivalent atoms are La at (0.0000, 0.0000, 0.0000), Hg at (0.0000, 0.0000, 0.0958) and I at (0.0000, 0.0000, 0.5000).

The value obtained for the formation energy from raw total energies is -0.04 eV/atom. The calculation puts the polymorph energy (0 for the lowest one) at 0.392 eV per atom.

=====

[9]
Here is a geometry-optimized Nd4Sm3Sc2 structure from the Alexandria database. Energies are from PBE.

The structure belongs to space group C2/m (No. 12); the cell edges are 11.233, 5.058 and 10.708 Å and the angles 90.00°, 107.92° and 90.00°. The inequivalent atoms are Nd at (0.001, 0.000, 0.170), Nd at (0.167, 0.500, 0.390), Sm at (0.000, 0.000, 0.500), Sm at (0.168, 0.500, 0.055) and Sc at (0.168, 0.500, 0.723).

Its formation energy is 0.040 eV/atom. The calculation puts the polymorph energy (0 for the lowest one) at 0.000 eV per atom.

=====

[10]
Here is a geometry-optimized CuPt2W structure from the Alexandria database. Energies are from PBE.

The structure belongs to space group F-43m (No. 216); the cell edges are 6.208, 6.208 and 6.208 Å and the angles 90.00°, 90.00° and 90.00°. The inequivalent atoms are Cu at (0.000, 0.000, 0.000), Pt at (0.000, 0.000, 0.500), Pt at (0.250, 0.250, 0.750) and W at (0.250, 0.250, 0.250).

Its formation energy is 0.061 eV/atom. The calculation puts the polymorph energy (0 for the lowest one) at 0.329 eV per atom.

=====

[11]
Here is a geometry-optimized AgSnHPb2 structure from the Alexandria database. Energies are from PBE.

The structure belongs to space group P4/mmm (No. 123); the cell edges are 5.321, 5.321 and 3.999 Å and the angles 90.00°, 90.00° and 90.00°. The inequivalent atoms are Ag at (0.000, 0.000, 0.000), Sn at (0.500, 0.500, 0.000), H at (0.000, 0.000, 0.500) and Pb at (0.000, 0.500, 0.500).

The calculation puts the polymorph energy (0 for the lowest one) at 0.000 eV per atom.

=====

[12]
Here is a geometry-optimized CeAlGa2Tc structure from the Alexandria database. Energies are from PBE.

The structure belongs to space group I-4m2 (No. 119); the cell edges are 4.000, 4.000 and 11.760 Å and the angles 90.00°, 90.00° and 90.00°. The inequivalent atoms are Ce at (0.000, 0.000, 0.000), Al at (0.000, 0.500, 0.250), Ga at (0.000, 0.000, 0.390) and Tc at (0.000, 0.500, 0.750).

Its formation energy is -0.327 eV/atom.

=====

[13]
Here is a geometry-optimized CdSb2Au2 structure from the Alexandria database. Energies are from PBE.

The structure belongs to space group I4/mmm (No. 139); the cell edges are 4.406, 4.406 and 13.021 Å and the angles 90.00°, 90.00° and 90.00°. The inequivalent atoms are Cd at (0.000, 0.000, 0.000), Sb at (0.000, 0.500, 0.250) and Au at (0.000, 0.000, 0.398).

The value obtained for the formation energy from raw total energies is 0.14 eV/atom. The calculation puts the polymorph energy (0 for the lowest one) at 0.166 eV per atom.

=====

[14]
Here is a geometry-optimized RbHg3Pd structure from the Alexandria database. Energies are from PBE.

The structure belongs to space group R-3m (No. 166, hexagonal axes); the cell edges are 7.6111, 7.6111 and 17.9701 Å and the angles 90.00°, 90.00° and 120.00°. The inequivalent atoms are Rb at (0.0000, 0.0000, 0.1010), Hg at (0.0507, 0.5253, 0.0905) and Pd at (0.0000, 0.0000, 0.3026).

Its formation energy is -0.155 eV/atom. The calculation puts the polymorph energy (0 for the lowest one) at 0.101 eV per atom.

=====

[15]
Here is a geometry-optimized Dy2ZrAg structure from the Alexandria database. Energies are from PBE.

The structure belongs to space group P4/mmm (No. 123); the cell edges are 3.444, 3.444 and 8.583 Å and the angles 90.00°, 90.00° and 90.00°. The inequivalent atoms are Dy at (0.000, 0.000, 0.235), Zr at (0.500, 0.500, 0.500) and Ag at (0.500, 0.500, 0.000).

Its formation energy is -0.120 eV/atom. The calculation puts the polymorph energy (0 for the lowest one) at 0.000 eV per atom.

=====

[16]
Here is a geometry-optimized V4Cr2Ga structure from the Alexandria database. Energies are from PBE.

The structure belongs to space group Cmmm (No. 65); the cell edges are 6.074, 8.222 and 3.893 Å and the angles 90.00°, 90.00° and 90.00°. The inequivalent atoms are V at (0.215, 0.000, 0.000), V at (0.250, 0.250, 0.500), Cr at (0.000, 0.262, 0.000) and Ga at (0.000, 0.500, 0.500).

Its formation energy is 0.191 eV/atom. The calculation puts the polymorph energy (0 for the lowest one) at 0.252 eV per atom.

=====

[17]
Here is a geometry-optimized LiCrAs structure from the Alexandria database. Energies are from PBE.

The structure belongs to space group I4/mmm (No. 139); the cell edges are 9.903, 9.903 and 4.574 Å and the angles 90.00°, 90.00° and 90.00°. The inequivalent atoms are Li at (0.000, 0.205, 0.000), Cr at (0.224, 0.224, 0.500) and As at (0.000, 0.272, 0.500).

Its formation energy is 0.256 eV/atom.

=====

[18]
Here is a geometry-optimized Be2Hg2Pd structure from the Alexandria database. Energies are from PBE.

The structure belongs to space group P4/mbm (No. 127); the cell edges are 6.544, 6.544 and 3.459 Å and the angles 90.00°, 90.00° and 90.00°. The inequivalent atoms are Be at (0.130, 0.370, 0.000), Hg at (0.168, 0.668, 0.500) and Pd at (0.000, 0.000, 0.000).

Its formation energy is 0.167 eV/atom.

=====

[19]
Here is a geometry-optimized NaSn2BPd structure from the Alexandria database. Energies are from PBE.

The structure belongs to space group P4/mmm (No. 123); the cell edges are 4.953, 4.953 and 4.279 Å and the angles 90.00°, 90.00° and 90.00°. The inequivalent atoms are Na at (0.000, 0.000, 0.000), Sn at (0.000, 0.500, 0.500), B at (0.500, 0.500, 0.500) and Pd at (0.500, 0.500, 0.000).

Its formation energy is 0.213 eV/atom.

=====

[20]
Here is a geometry-optimized NpRhN structure from the Alexandria database. Energies are from PBE.

The structure belongs to space group P3m1 (No. 156); the cell edges are 3.4810, 3.4810 and 4.4517 Å and the angles 90.00°, 90.00° and 120.00°. The inequivalent atoms are Np at (0.0000, 0.0000, 0.0000), Rh at (0.6667, 0.3333, 0.5984) and N at (0.3333, 0.6667, 0.2058).

The value obtained for the formation energy from raw total energies is -0.31 eV/atom.